DFT (PBE-GGA) results for crystalline SmGaAgPb at its relaxed geometry.

The structure in CIF format:
```
data_SmGaAgPb
_chemical_formula_sum 'Sm1 Ga1 Ag1 Pb1'
_symmetry_space_group_name_H-M 'P 1'
_symmetry_Int_Tables_number 1
_cell_length_a 5.1455
_cell_length_b 5.1455
_cell_length_c 5.1455
_cell_angle_alpha 60.00
_cell_angle_beta 60.00
_cell_angle_gamma 60.00
loop_
_symmetry_equiv_pos_as_xyz
'x,y,z'
loop_
_atom_site_label
_atom_site_fract_x
_atom_site_fract_y
_atom_site_fract_z
Sm1 0.0000 0.0000 0.0000
Ga1 0.2500 0.2500 0.2500
Ag1 0.7500 0.7500 0.7500
Pb1 0.5000 0.5000 0.5000
```

Energy relative to the elements, eV per atom: -0.227

***

DFT (PBE-GGA) results for crystalline SrGaAgPb at its relaxed geometry.

The structure in CIF format:
```
data_SrGaAgPb
_chemical_formula_sum 'Sr1 Ga1 Ag1 Pb1'
_symmetry_space_group_name_H-M 'P 1'
_symmetry_Int_Tables_number 1
_cell_length_a 5.2857
_cell_length_b 5.2857
_cell_length_c 5.2857
_cell_angle_alpha 60.00
_cell_angle_beta 60.00
_cell_angle_gamma 60.00
loop_
_symmetry_equiv_pos_as_xyz
'x,y,z'
loop_
_atom_site_label
_atom_site_fract_x
_atom_site_fract_y
_atom_site_fract_z
Sr1 0.0000 0.0000 0.0000
Ga1 0.7500 0.7500 0.7500
Ag1 0.2500 0.2500 0.2500
Pb1 0.5000 0.5000 0.5000
```

Energy relative to the elements, eV per atom: -0.224

***

DFT (PBE-GGA) results for crystalline Sr2Ga3Ag4Pb at its relaxed geometry.

The structure in CIF format:
```
data_Sr2Ga3Ag4Pb
_chemical_formula_sum 'Sr2 Ga3 Ag4 Pb1'
_symmetry_space_group_name_H-M 'P 1'
_symmetry_Int_Tables_number 1
_cell_length_a 4.5874
_cell_length_b 4.5874
_cell_length_c 11.3373
_cell_angle_alpha 90.00
_cell_angle_beta 90.00
_cell_angle_gamma 90.00
loop_
_symmetry_equiv_pos_as_xyz
'x,y,z'
loop_
_atom_site_label
_atom_site_fract_x
_atom_site_fract_y
_atom_site_fract_z
Sr1 0.0000 0.5000 0.2372
Sr2 0.5000 0.0000 0.7628
Ga1 0.0000 0.5000 0.8823
Ga2 0.5000 0.0000 0.1177
Ga3 0.5000 0.5000 0.5000
Ag1 0.0000 0.0000 0.0000
Ag2 0.0000 0.5000 0.6539
Ag3 0.5000 0.0000 0.3461
Ag4 0.5000 0.5000 0.0000
Pb1 0.0000 0.0000 0.5000
```

Energy relative to the elements, eV per atom: -0.272

***

DFT (PBE-GGA) results for crystalline TaGa2AgPb at its relaxed geometry.

The structure in CIF format:
```
data_TaGa2AgPb
_chemical_formula_sum 'Ta1 Ga2 Ag1 Pb1'
_symmetry_space_group_name_H-M 'P 1'
_symmetry_Int_Tables_number 1
_cell_length_a 5.3294
_cell_length_b 5.3294
_cell_length_c 5.1892
_cell_angle_alpha 90.00
_cell_angle_beta 90.00
_cell_angle_gamma 90.00
loop_
_symmetry_equiv_pos_as_xyz
'x,y,z'
loop_
_atom_site_label
_atom_site_fract_x
_atom_site_fract_y
_atom_site_fract_z
Ta1 0.0000 0.0000 0.0000
Ga1 0.0000 0.5000 0.5000
Ga2 0.5000 0.0000 0.5000
Ag1 0.5000 0.5000 0.0000
Pb1 0.5000 0.5000 0.5000
```

Energy relative to the elements, eV per atom: 1.578
ΔE to the lowest computed polymorph, kJ/mol of formula units: 322.8

***

DFT (PBE-GGA) results for crystalline TaGa2AgPb at its relaxed geometry.

The structure in CIF format:
```
data_TaGa2AgPb
_chemical_formula_sum 'Ta1 Ga2 Ag1 Pb1'
_symmetry_space_group_name_H-M 'P 1'
_symmetry_Int_Tables_number 1
_cell_length_a 4.7405
_cell_length_b 4.7405
_cell_length_c 5.3752
_cell_angle_alpha 90.00
_cell_angle_beta 90.00
_cell_angle_gamma 90.00
loop_
_symmetry_equiv_pos_as_xyz
'x,y,z'
loop_
_atom_site_label
_atom_site_fract_x
_atom_site_fract_y
_atom_site_fract_z
Ta1 0.0000 0.0000 0.0000
Ga1 0.0000 0.5000 0.5000
Ga2 0.5000 0.0000 0.5000
Ag1 0.0000 0.0000 0.5000
Pb1 0.5000 0.5000 0.0000
```

Energy relative to the elements, eV per atom: 0.909
ΔE to the lowest computed polymorph, kJ/mol of formula units: 0.0

***

DFT (PBE-GGA) results for crystalline TbGaAgPb at its relaxed geometry.

The structure in CIF format:
```
data_TbGaAgPb
_chemical_formula_sum 'Tb1 Ga1 Ag1 Pb1'
_symmetry_space_group_name_H-M 'P 1'
_symmetry_Int_Tables_number 1
_cell_length_a 5.1118
_cell_length_b 5.1118
_cell_length_c 5.1118
_cell_angle_alpha 60.00
_cell_angle_beta 60.00
_cell_angle_gamma 60.00
loop_
_symmetry_equiv_pos_as_xyz
'x,y,z'
loop_
_atom_site_label
_atom_site_fract_x
_atom_site_fract_y
_atom_site_fract_z
Tb1 0.0000 0.0000 0.0000
Ga1 0.7500 0.7500 0.7500
Ag1 0.2500 0.2500 0.2500
Pb1 0.5000 0.5000 0.5000
```

Energy relative to the elements, eV per atom: -0.197

***

| no. | final energy (eV/atom) | total moment (Bohr magnetons per cell) |
| --- | --- | --- |
| 1 | -3.803 | 0.0 |
| 2 | -3.041 | 0.0 |
| 3 | -3.028 | 0.0 |
| 4 | -3.315 | 3.1 |
| 5 | -3.984 | 0.0 |
| 6 | -3.751 | 0.0 |